## w
VASP calculation (PBE) on crystalline Nd2Ni2Pt at its relaxed geometry.

Cell: 5.700 5.700 10.827 Å, 114.99 114.99 42.97°
Fractional positions:
Nd 0.096 0.096 0.397
Nd 0.305 0.305 0.859
Nd 0.695 0.695 0.141
Nd 0.904 0.904 0.603
Ni 0.039 0.039 0.917
Ni 0.380 0.380 0.399
Ni 0.620 0.620 0.601
Ni 0.961 0.961 0.083
Pt 0.420 0.420 0.184
Pt 0.580 0.580 0.816

---

## x
VASP calculation (PBE) on crystalline Nd2Ni2Pt at its relaxed geometry.

Cell: 4.204 5.817 8.127 Å, 90.00 90.00 90.00°
Fractional positions:
Nd 0.000 0.000 0.215
Nd 0.000 0.000 0.785
Nd 0.500 0.500 0.285
Nd 0.500 0.500 0.715
Ni 0.000 0.293 0.500
Ni 0.000 0.707 0.500
Ni 0.500 0.207 0.000
Ni 0.500 0.793 0.000
Pt 0.000 0.500 0.000
Pt 0.500 0.000 0.500

---

Of all the structures shown, which is most stable? x, and w is the least stable.